Crystalline Be3SiTe at its relaxed geometry, computed with GGA-PBE.

Calculated values
raw formation energy	63	kJ per mole of atoms
DOS at the Fermi energy	0.67	states/eV/f.u.
calculated density	3.62	Mg/m³
magnetization	0.000	μB per atom
polymorph energy (0 for the lowest one)	0	meV per atom

Geometry as POSCAR:
```
Be3SiTe
1.0
4.378 0.000 0.000
0.000 4.378 0.000
0.000 0.000 4.378
Be Si Te
3 1 1
Cartesian
0.000 0.000 2.189
0.000 2.189 0.000
2.189 0.000 0.000
0.000 0.000 0.000
2.189 2.189 2.189
```